# 1
Compound: LaErPu2As4
Source: Alexandria via LeMat-Bulk
Functional: PBE
Structure: optimized geometry

```
8
Lattice="-2.381 -3.336 -0.885 2.565 -3.383 5.854 -4.217 1.495 5.709" Properties=species:S:1:pos:R:3 pbc="T T T"
La 0.092 -3.360 2.485
Er -0.826 -0.944 5.781
Pu -4.217 1.495 5.709
Pu -3.299 -0.921 2.412
As -1.159 -1.469 8.658
As -2.874 -3.755 2.020
As -0.336 -3.837 5.434
As -3.697 -1.388 5.244
```

**Total magnetization**: 0.15 μB/cell
**E_tot**: -66.59 eV for the cell shown


# 2
Compound: LaEr2PuAs4
Source: Alexandria via LeMat-Bulk
Functional: PBE
Structure: optimized geometry

```
8
Lattice="4.180 0.000 0.000 0.000 7.211 -0.138 0.000 2.541 6.764" Properties=species:S:1:pos:R:3 pbc="T T T"
La 0.000 4.876 3.313
Er 0.000 2.541 6.764
Er 2.090 1.271 3.382
Pu 2.090 6.147 6.695
As 0.000 7.371 5.002
As 4.180 2.381 1.624
As 2.090 6.099 1.516
As 2.090 3.653 5.110
```

**Total magnetization**: 4.93 μB/cell
**E_tot**: -58.03 eV for the cell shown


# 3
Compound: La2Er3PuAs6
Source: Alexandria via LeMat-Bulk
Functional: PBE
Structure: optimized geometry

```
12
Lattice="4.198 0.000 0.000 0.000 8.373 0.309 -2.099 -2.402 8.804" Properties=species:S:1:pos:R:3 pbc="T T T"
La 2.099 3.982 6.090
La 0.000 1.989 3.023
Er 2.099 4.187 0.154
Er 2.099 -0.207 5.904
Er 0.000 6.178 3.209
Pu 2.099 0.000 0.000
As 0.000 6.166 6.157
As 2.099 4.179 3.054
As 2.099 -0.196 2.956
As 2.099 -0.309 8.807
As 0.000 6.280 0.306
As 0.000 1.792 6.059
```

**Total magnetization**: 4.89 μB/cell
**E_tot**: -82.92 eV for the cell shown


# 4
Compound: La2ErAs3Rh4
Source: Alexandria via LeMat-Bulk
Functional: PBE
Structure: optimized geometry

```
10
Lattice="4.165 0.000 0.000 0.000 4.165 0.000 0.000 0.000 11.443" Properties=species:S:1:pos:R:3 pbc="T T T"
La 2.082 0.000 2.628
La 0.000 2.082 8.816
Er 2.082 2.082 5.722
As 0.000 0.000 5.722
As 2.082 0.000 9.999
As 0.000 2.082 1.445
Rh 2.082 2.082 0.000
Rh 0.000 0.000 0.000
Rh 2.082 0.000 7.534
Rh 0.000 2.082 3.910
```

**Total magnetization**: 0.00 μB/cell
**E_tot**: -67.88 eV for the cell shown


# 5
Compound: La2ErAs3Rh12
Source: Alexandria via LeMat-Bulk
Functional: PBE
Structure: optimized geometry

```
18
Lattice="6.620 -1.420 -1.007 2.035 6.458 -1.007 2.035 1.184 6.428" Properties=species:S:1:pos:R:3 pbc="T T T"
La 6.793 3.954 2.805
La 3.897 2.268 1.609
Er 0.000 0.000 0.000
As 3.310 -0.710 -0.504
As 1.017 3.229 -0.504
As 1.017 0.592 3.214
Rh 5.073 2.953 5.042
Rh 7.710 4.488 0.451
Rh 5.468 5.761 4.086
Rh 7.493 1.579 1.120
Rh 7.710 1.910 4.086
Rh 5.073 5.735 1.120
Rh 5.617 3.269 -0.629
Rh 2.980 1.735 3.962
Rh 5.222 0.461 0.327
Rh 3.198 4.643 3.293
Rh 2.980 4.313 0.327
Rh 5.617 0.487 3.293
```

**Total magnetization**: 0.00 μB/cell
**E_tot**: -122.43 eV for the cell shown


# 6
Compound: LaErAs2Rh5
Source: Alexandria via LeMat-Bulk
Functional: PBE
Structure: optimized geometry

```
9
Lattice="-1.588 3.744 -0.372 -3.614 -1.631 -0.981 -2.884 -0.143 10.867" Properties=species:S:1:pos:R:3 pbc="T T T"
La -1.442 -0.072 5.434
Er 0.000 0.000 0.000
As -3.429 1.016 2.443
As -4.657 0.955 7.072
Rh -2.324 -0.841 1.456
Rh -1.311 1.847 1.761
Rh -4.174 -0.933 8.430
Rh -3.161 1.755 8.734
Rh -4.043 0.985 4.757
```

**Total magnetization**: 0.00 μB/cell
**E_tot**: -61.03 eV for the cell shown


# 7
Compound: LaErAsS
Source: Alexandria via LeMat-Bulk
Functional: PBE
Structure: optimized geometry

```
4
Lattice="4.128 0.000 0.000 2.064 3.575 0.000 2.064 1.192 6.729" Properties=species:S:1:pos:R:3 pbc="T T T"
La 2.064 1.192 6.718
Er 4.128 2.383 3.383
As 2.064 1.192 1.807
S 6.192 3.575 4.916
```

**Total magnetization**: 0.00 μB/cell
**Formation energy from raw total energies**: -1820 meV/atom


# 8
Compound: LaErSbAs
Source: Alexandria via LeMat-Bulk
Functional: PBE
Structure: optimized geometry

```
4
Lattice="4.352 0.000 0.000 2.176 3.769 0.000 2.176 1.256 7.142" Properties=species:S:1:pos:R:3 pbc="T T T"
La 2.176 1.256 1.664
Er 6.528 3.769 5.467
Sb 4.352 2.513 3.686
As 2.176 1.256 7.037
```

**Total magnetization**: 0.00 μB/cell
**Formation energy from raw total energies**: -1340 meV/atom